Ca6MgCd5 | PBE | relaxed

As for the magnetic moment: 0.00 Bohr magnetons per cell. As for the space group: Immm. The total DFT energy (no corrections) comes out at -1.826 eV/atom. Its formation energy is -30 kJ/mol of atoms.

The structure in CIF format:
```
data_Ca6MgCd5
_symmetry_space_group_name_H-M 'P 1'
_symmetry_Int_Tables_number 1
_symmetry_space_group_name_Hall 'P 1'
_cell_length_a 9.4756
_cell_length_b 9.4756
_cell_length_c 9.4756
_cell_angle_alpha 146.41
_cell_angle_beta 132.51
_cell_angle_gamma 59.41
loop_
_atom_site_label
_atom_site_type_symbol
_atom_site_fract_x
_atom_site_fract_y
_atom_site_fract_z
Ca1 Ca 0.0771 0.3304 0.7467
Ca2 Ca 0.2429 0.0000 0.2429
Ca3 Ca 0.4162 0.6696 0.7467
Ca4 Ca 0.5838 0.3304 0.2533
Ca5 Ca 0.7571 0.0000 0.7571
Ca6 Ca 0.9229 0.6696 0.2533
Mg1 Mg 0.5000 0.5000 0.0000
Cd1 Cd 0.0000 0.5000 0.5000
Cd2 Cd 0.1664 0.1664 0.0000
Cd3 Cd 0.3394 0.8394 0.5000
Cd4 Cd 0.6606 0.1606 0.5000
Cd5 Cd 0.8336 0.8336 0.0000
```

Ca2MgCd2 | PBE | relaxed

As for the magnetic moment: 0.00 Bohr magnetons per cell. As for the space group: I4/mmm. The total DFT energy (no corrections) comes out at -1.440 eV/atom. Its formation energy is 4 kJ/mol of atoms. The energy above the most stable polymorph in this dataset comes out at 312 meV/atom.

The structure in CIF format:
```
data_Ca2MgCd2
_symmetry_space_group_name_H-M 'P 1'
_symmetry_Int_Tables_number 1
_symmetry_space_group_name_Hall 'P 1'
_cell_length_a 4.8836
_cell_length_b 4.8836
_cell_length_c 13.4204
_cell_angle_alpha 90.00
_cell_angle_beta 90.00
_cell_angle_gamma 90.00
loop_
_atom_site_label
_atom_site_type_symbol
_atom_site_fract_x
_atom_site_fract_y
_atom_site_fract_z
Ca1 Ca 0.0000 0.5000 0.2500
Ca2 Ca 0.0000 0.5000 0.7500
Ca3 Ca 0.5000 0.0000 0.2500
Ca4 Ca 0.5000 0.0000 0.7500
Mg1 Mg 0.0000 0.0000 0.0000
Mg2 Mg 0.5000 0.5000 0.5000
Cd1 Cd 0.0000 0.0000 0.3991
Cd2 Cd 0.0000 0.0000 0.6009
Cd3 Cd 0.5000 0.5000 0.1009
Cd4 Cd 0.5000 0.5000 0.8991
```

Ca2Mg9Cd6 | PBE | relaxed

As for the magnetic moment: 0.00 Bohr magnetons per cell. As for the space group: P6/mmm. The total DFT energy (no corrections) comes out at -1.437 eV/atom. Its formation energy is -3 kJ/mol of atoms.

The structure in CIF format:
```
data_Ca2Mg9Cd6
_symmetry_space_group_name_H-M 'P 1'
_symmetry_Int_Tables_number 1
_symmetry_space_group_name_Hall 'P 1'
_cell_length_a 5.9946
_cell_length_b 5.9946
_cell_length_c 14.6319
_cell_angle_alpha 90.00
_cell_angle_beta 90.00
_cell_angle_gamma 120.00
loop_
_atom_site_label
_atom_site_type_symbol
_atom_site_fract_x
_atom_site_fract_y
_atom_site_fract_z
Ca1 Ca 0.0000 0.0000 0.1538
Ca2 Ca 0.0000 0.0000 0.8462
Mg1 Mg 0.0000 0.5000 0.0000
Mg2 Mg 0.0000 0.5000 0.3340
Mg3 Mg 0.0000 0.5000 0.6660
Mg4 Mg 0.5000 0.0000 0.0000
Mg5 Mg 0.5000 0.0000 0.3340
Mg6 Mg 0.5000 0.0000 0.6660
Mg7 Mg 0.5000 0.5000 0.0000
Mg8 Mg 0.5000 0.5000 0.3340
Mg9 Mg 0.5000 0.5000 0.6660
Cd1 Cd 0.3333 0.6667 0.1667
Cd2 Cd 0.3333 0.6667 0.5000
Cd3 Cd 0.3333 0.6667 0.8333
Cd4 Cd 0.6667 0.3333 0.1667
Cd5 Cd 0.6667 0.3333 0.5000
Cd6 Cd 0.6667 0.3333 0.8333
```

Ca3Mg3Cd2 | PBE | relaxed

As for the magnetic moment: 0.00 Bohr magnetons per cell. As for the space group: Pnma. The total DFT energy (no corrections) comes out at -1.751 eV/atom. Its formation energy is -17 kJ/mol of atoms.

The structure in CIF format:
```
data_Ca3Mg3Cd2
_symmetry_space_group_name_H-M 'P 1'
_symmetry_Int_Tables_number 1
_symmetry_space_group_name_Hall 'P 1'
_cell_length_a 8.6353
_cell_length_b 17.2335
_cell_length_c 6.2664
_cell_angle_alpha 90.00
_cell_angle_beta 90.00
_cell_angle_gamma 90.00
loop_
_atom_site_label
_atom_site_type_symbol
_atom_site_fract_x
_atom_site_fract_y
_atom_site_fract_z
Ca1 Ca 0.0325 0.1083 0.1133
Ca2 Ca 0.0325 0.3917 0.1133
Ca3 Ca 0.1631 0.2500 0.6419
Ca4 Ca 0.3369 0.7500 0.1419
Ca5 Ca 0.4675 0.6083 0.6133
Ca6 Ca 0.4675 0.8917 0.6133
Ca7 Ca 0.5325 0.1083 0.3867
Ca8 Ca 0.5325 0.3917 0.3867
Ca9 Ca 0.6631 0.2500 0.8581
Ca10 Ca 0.8369 0.7500 0.3581
Ca11 Ca 0.9675 0.6083 0.8867
Ca12 Ca 0.9675 0.8917 0.8867
Mg1 Mg 0.1785 0.0339 0.5970
Mg2 Mg 0.1785 0.4661 0.5970
Mg3 Mg 0.1806 0.7500 0.6487
Mg4 Mg 0.3194 0.2500 0.1487
Mg5 Mg 0.3215 0.5339 0.0970
Mg6 Mg 0.3215 0.9661 0.0970
Mg7 Mg 0.6785 0.0339 0.9030
Mg8 Mg 0.6785 0.4661 0.9030
Mg9 Mg 0.6806 0.7500 0.8513
Mg10 Mg 0.8194 0.2500 0.3513
Mg11 Mg 0.8215 0.5339 0.4030
Mg12 Mg 0.8215 0.9661 0.4030
Cd1 Cd 0.1154 0.6148 0.3814
Cd2 Cd 0.1154 0.8852 0.3814
Cd3 Cd 0.3846 0.1148 0.8814
Cd4 Cd 0.3846 0.3852 0.8814
Cd5 Cd 0.6154 0.6148 0.1186
Cd6 Cd 0.6154 0.8852 0.1186
Cd7 Cd 0.8846 0.1148 0.6186
Cd8 Cd 0.8846 0.3852 0.6186
```

Ca5MgCd6 | PBE | relaxed

As for the magnetic moment: 0.00 Bohr magnetons per cell. As for the space group: C2/m. The total DFT energy (no corrections) comes out at -1.739 eV/atom. Its formation energy is -30 kJ/mol of atoms.

The structure in CIF format:
```
data_Ca5MgCd6
_symmetry_space_group_name_H-M 'P 1'
_symmetry_Int_Tables_number 1
_symmetry_space_group_name_Hall 'P 1'
_cell_length_a 9.2456
_cell_length_b 9.2456
_cell_length_c 5.2875
_cell_angle_alpha 106.53
_cell_angle_beta 106.53
_cell_angle_gamma 119.37
loop_
_atom_site_label
_atom_site_type_symbol
_atom_site_fract_x
_atom_site_fract_y
_atom_site_fract_z
Ca1 Ca 0.0000 0.0000 0.0000
Ca2 Ca 0.1652 0.8348 0.5000
Ca3 Ca 0.3288 0.6712 0.0000
Ca4 Ca 0.6712 0.3288 0.0000
Ca5 Ca 0.8348 0.1652 0.5000
Mg1 Mg 0.5000 0.5000 0.5000
Cd1 Cd 0.1022 0.4213 0.2627
Cd2 Cd 0.2679 0.2679 0.7662
Cd3 Cd 0.4213 0.1022 0.2627
Cd4 Cd 0.5787 0.8978 0.7373
Cd5 Cd 0.7321 0.7321 0.2338
Cd6 Cd 0.8978 0.5787 0.7373
```

CaMg2Cd | PBE | relaxed

As for the magnetic moment: 0.00 Bohr magnetons per cell. As for the space group: Pm. The total DFT energy (no corrections) comes out at -1.652 eV/atom. Its formation energy is -12 kJ/mol of atoms.

The structure in CIF format:
```
data_CaMg2Cd
_symmetry_space_group_name_H-M 'P 1'
_symmetry_Int_Tables_number 1
_symmetry_space_group_name_Hall 'P 1'
_cell_length_a 3.4985
_cell_length_b 4.8186
_cell_length_c 6.4753
_cell_angle_alpha 90.00
_cell_angle_beta 105.34
_cell_angle_gamma 90.00
loop_
_atom_site_label
_atom_site_type_symbol
_atom_site_fract_x
_atom_site_fract_y
_atom_site_fract_z
Ca1 Ca 0.0000 0.0000 0.0000
Mg1 Mg 0.3317 0.5000 0.6712
Mg2 Mg 0.7363 0.0000 0.4806
Cd1 Cd 0.6078 0.5000 0.2187
```

Ca6MgCd | PBE | relaxed

As for the magnetic moment: 0.00 Bohr magnetons per cell. As for the space group: C2/m. The total DFT energy (no corrections) comes out at -1.763 eV/atom. Its formation energy is 5 kJ/mol of atoms. The energy above the most stable polymorph in this dataset comes out at 157 meV/atom.

The structure in CIF format:
```
data_Ca6MgCd
_symmetry_space_group_name_H-M 'P 1'
_symmetry_Int_Tables_number 1
_symmetry_space_group_name_Hall 'P 1'
_cell_length_a 7.3985
_cell_length_b 12.8549
_cell_length_c 7.3907
_cell_angle_alpha 90.00
_cell_angle_beta 117.48
_cell_angle_gamma 90.00
loop_
_atom_site_label
_atom_site_type_symbol
_atom_site_fract_x
_atom_site_fract_y
_atom_site_fract_z
Ca1 Ca 0.2417 0.2018 0.2490
Ca2 Ca 0.2417 0.7982 0.2490
Ca3 Ca 0.2440 0.0000 0.7560
Ca4 Ca 0.2560 0.5000 0.2440
Ca5 Ca 0.2583 0.2982 0.7510
Ca6 Ca 0.2583 0.7018 0.7510
Ca7 Ca 0.7417 0.2982 0.2490
Ca8 Ca 0.7417 0.7018 0.2490
Ca9 Ca 0.7440 0.5000 0.7560
Ca10 Ca 0.7560 0.0000 0.2440
Ca11 Ca 0.7583 0.2018 0.7510
Ca12 Ca 0.7583 0.7982 0.7510
Mg1 Mg 0.0000 0.5000 0.5000
Mg2 Mg 0.5000 0.0000 0.5000
Cd1 Cd 0.0000 0.0000 0.0000
Cd2 Cd 0.5000 0.5000 0.0000
```

CaMg6Cd6 | PBE | relaxed

As for the magnetic moment: 0.00 Bohr magnetons per cell. As for the space group: Immm. The total DFT energy (no corrections) comes out at -1.441 eV/atom. Its formation energy is -12 kJ/mol of atoms.

The structure in CIF format:
```
data_CaMg6Cd6
_symmetry_space_group_name_H-M 'P 1'
_symmetry_Int_Tables_number 1
_symmetry_space_group_name_Hall 'P 1'
_cell_length_a 7.7008
_cell_length_b 7.7008
_cell_length_c 7.7008
_cell_angle_alpha 134.04
_cell_angle_beta 100.41
_cell_angle_gamma 97.14
loop_
_atom_site_label
_atom_site_type_symbol
_atom_site_fract_x
_atom_site_fract_y
_atom_site_fract_z
Ca1 Ca 0.0000 0.0000 0.0000
Mg1 Mg 0.0000 0.0000 0.5000
Mg2 Mg 0.0000 0.5000 0.0000
Mg3 Mg 0.2234 0.5000 0.7234
Mg4 Mg 0.5000 0.0000 0.0000
Mg5 Mg 0.5000 0.5000 0.5000
Mg6 Mg 0.7766 0.5000 0.2766
Cd1 Cd 0.2018 0.7018 0.5000
Cd2 Cd 0.3447 0.0000 0.3447
Cd3 Cd 0.3493 0.3493 0.0000
Cd4 Cd 0.6507 0.6507 0.0000
Cd5 Cd 0.6553 0.0000 0.6553
Cd6 Cd 0.7982 0.2982 0.5000
```